# Ca3Fe2Rh2O12 | Alexandria | GGA+U | relaxed
# **Uncorrected energy**: -6.157 eV per atom
data_Ca3Fe2Rh2O12
_cell_length_a 9.2346
_cell_length_b 9.2346
_cell_length_c 10.6116
_cell_angle_alpha 90.00
_cell_angle_beta 90.00
_cell_angle_gamma 120.00
_space_group_name_H-M_alt 'R 3 2'
_space_group_IT_number 155
_space_group_name_Hall 'R 3 2"'
loop_
_atom_site_label
_atom_site_type_symbol
_atom_site_fract_x
_atom_site_fract_y
_atom_site_fract_z
Ca1 Ca 0.0000 0.3718 0.0000
Fe1 Fe 0.0000 0.0000 0.0000
Fe2 Fe 0.0000 0.0000 0.5000
Rh1 Rh 0.0000 0.0000 0.2451
O1 O 0.0230 0.1778 0.1319
O2 O 0.0285 0.8586 0.6263